(1)
DFT (GGA-PBE) results for crystalline PmAl5Cu2 at its relaxed geometry.

Lattice parameters (Å, degrees): 6.3294 6.3294 6.3294 143.32 110.92 80.84
Atoms (fractional coordinates):
Al: 0.5370 0.3487 0.1883
Al: 0.8396 0.6513 0.1883
Al: 0.5000 0.0000 0.5000
Al: 0.1604 0.3487 0.8117
Al: 0.4630 0.6513 0.8117
Cu: 0.7490 0.2490 0.5000
Cu: 0.2510 0.7510 0.5000
Pm: 0.0000 0.0000 0.0000

V in Å³/cell: 137.74
E_tot in eV/atom: -4.22

=====

(2)
DFT (GGA-PBE) results for crystalline CuNiH16C8N8 at its relaxed geometry.

Lattice parameters (Å, degrees): 6.3256 7.1454 7.8260 106.59 91.61 107.34
Atoms (fractional coordinates):
C: 0.7221 0.7266 0.1621
C: 0.7795 0.9373 0.3011
C: 0.4129 0.2535 0.3197
C: 0.2872 0.5734 0.3939
C: 0.7128 0.4266 0.6061
C: 0.5871 0.7465 0.6803
C: 0.2205 0.0627 0.6989
C: 0.2779 0.2735 0.8379
Cu: 0.0000 0.0000 0.0000
H: 0.1361 0.3930 0.0653
H: 0.5690 0.6950 0.0742
H: 0.0386 0.7178 0.1260
H: 0.6890 0.1043 0.1547
H: 0.6959 0.6069 0.2296
H: 0.9202 0.2375 0.2950
H: 0.6428 0.9497 0.3824
H: 0.9290 0.9626 0.3898
H: 0.0710 0.0374 0.6102
H: 0.3572 0.0503 0.6176
H: 0.0798 0.7625 0.7050
H: 0.3041 0.3931 0.7704
H: 0.3110 0.8957 0.8453
H: 0.9614 0.2822 0.8740
H: 0.4310 0.3050 0.9258
H: 0.8639 0.6070 0.9347
N: 0.9070 0.7280 0.0520
N: 0.3583 0.0996 0.1987
N: 0.8347 0.0948 0.2076
N: 0.1527 0.6138 0.3171
N: 0.8473 0.3862 0.6829
N: 0.1653 0.9052 0.7924
N: 0.6417 0.9004 0.8012
N: 0.0929 0.2720 0.9480
Ni: 0.5000 0.5000 0.5000

V in Å³/cell: 321.12
E_tot in eV/atom: -6.03

=====

(3)
DFT (GGA-PBE) results for crystalline ErCd2Ga2 at its relaxed geometry.

Lattice parameters (Å, degrees): 7.7234 7.7234 3.6994 90.00 90.00 90.00
Atoms (fractional coordinates):
Cd: 0.6758 0.1758 0.5000
Cd: 0.1758 0.3242 0.5000
Cd: 0.8242 0.6758 0.5000
Cd: 0.3242 0.8242 0.5000
Er: 0.0000 0.0000 0.0000
Er: 0.5000 0.5000 0.0000
Ga: 0.3768 0.1232 0.0000
Ga: 0.8768 0.3768 0.0000
Ga: 0.1232 0.6232 0.0000
Ga: 0.6232 0.8768 0.0000

V in Å³/cell: 220.67
E_tot in eV/atom: -2.64

=====

Which value of E_tot does entry 2 give? -6.03 eV/atom